Compound: Pr2FeSi2Ru
Source: the Alexandria database
Functional: PBE-GGA
Structure: optimized geometry

Values from the calculation:
- crystal system = tetragonal
- final energy (eV per atom) = -7.00

Unit cell a=4.1507 b=4.1507 c=7.0718 alpha=90.00 beta=90.00 gamma=90.00
Atoms (fractional coordinates):
Pr: 0.5000 0.0000 0.3184
Pr: 0.0000 0.5000 0.6816
Fe: 0.0000 0.0000 0.0000
Si: 0.5000 0.0000 0.8331
Si: 0.0000 0.5000 0.1669
Ru: 0.5000 0.5000 0.0000

***

Compound: Pr3Fe5S12
Source: the Alexandria database
Functional: PBE-GGA
Structure: optimized geometry

Values from the calculation:
- crystal system = cubic
- final energy (eV per atom) = -6.20

Unit cell a=12.8038 b=12.8038 c=12.8038 alpha=109.47 beta=109.47 gamma=109.47
Last column: magnetic moment on the atom in μB.
Atoms (fractional coordinates):
Pr: 0.7500 0.3750 0.1250  0.07
Pr: 0.8750 0.7500 0.1250  0.07
Pr: 0.3750 0.7500 0.6250  0.07
Pr: 0.2500 0.1250 0.3750  0.07
Pr: 0.8750 0.1250 0.2500  0.07
Pr: 0.3750 0.6250 0.2500  0.07
Pr: 0.6250 0.3750 0.7500  0.07
Pr: 0.1250 0.8750 0.7500  0.07
Pr: 0.7500 0.8750 0.6250  0.07
Pr: 0.6250 0.2500 0.3750  0.07
Pr: 0.1250 0.2500 0.8750  0.07
Pr: 0.2500 0.6250 0.8750  0.07
S: 0.6949 0.1106 0.0193  0.07
S: 0.3243 0.5193 0.4087  0.07
S: 0.9807 0.3894 0.3051  0.07
S: 0.5193 0.1949 0.1106  0.07
S: 0.5843 0.6949 0.6757  0.07
S: 0.9807 0.5913 0.1757  0.07
S: 0.3243 0.8051 0.4157  0.07
S: 0.0913 0.9157 0.1106  0.07
S: 0.5913 0.9807 0.6757  0.07
S: 0.6949 0.5843 0.1757  0.07
S: 0.8051 0.4807 0.3894  0.07
S: 0.8243 0.9087 0.0193  0.07
S: 0.1106 0.6949 0.5193  0.07
S: 0.3894 0.4087 0.0843  0.07
S: 0.0843 0.9087 0.3894  0.07
S: 0.4157 0.1106 0.5913  0.07
S: 0.0843 0.1757 0.1949  0.07
S: 0.4807 0.6757 0.0913  0.07
S: 0.8243 0.9157 0.3051  0.07
S: 0.1106 0.4157 0.0913  0.07
S: 0.3894 0.9807 0.8051  0.07
S: 0.5913 0.6106 0.4157  0.07
S: 0.9087 0.8243 0.5193  0.07
S: 0.8051 0.3243 0.9157  0.07
S: 0.4087 0.3894 0.5843  0.07
S: 0.0913 0.1757 0.4807  0.07
S: 0.1949 0.6757 0.0843  0.07
S: 0.1757 0.0843 0.6949  0.07
S: 0.6106 0.0193 0.1949  0.07
S: 0.8894 0.5843 0.9087  0.07
S: 0.5193 0.3243 0.9087  0.07
S: 0.5843 0.8894 0.4087  0.07
S: 0.9157 0.8243 0.8051  0.07
S: 0.9157 0.0913 0.6106  0.07
S: 0.8894 0.3051 0.4807  0.07
S: 0.1757 0.0913 0.9807  0.07
S: 0.6106 0.5913 0.9157  0.07
S: 0.4087 0.0193 0.3243  0.07
S: 0.3051 0.4157 0.8243  0.07
S: 0.1949 0.5193 0.6106  0.07
S: 0.9087 0.0843 0.8894  0.07
S: 0.6757 0.1949 0.5843  0.07
S: 0.4807 0.8051 0.8894  0.07
S: 0.0193 0.4087 0.8243  0.07
S: 0.4157 0.3051 0.3243  0.07
S: 0.0193 0.6106 0.6949  0.07
S: 0.6757 0.4807 0.5913  0.07
S: 0.3051 0.8894 0.9807  0.07
Fe: 0.1250 0.3750 0.2500  2.96
Fe: 0.0000 0.5000 0.0000  0.56
Fe: 0.0000 0.0000 0.0000  0.56
Fe: 0.3750 0.2500 0.1250  2.96
Fe: 0.5000 0.0000 0.5000  0.56
Fe: 0.5000 0.5000 0.0000  0.56
Fe: 0.1250 0.7500 0.3750  2.96
Fe: 0.7500 0.1250 0.8750  2.96
Fe: 0.7500 0.6250 0.3750  2.96
Fe: 0.3750 0.1250 0.7500  2.96
Fe: 0.6250 0.8750 0.2500  2.96
Fe: 0.5000 0.5000 0.5000  0.56
Fe: 0.5000 0.0000 0.0000  0.56
Fe: 0.0000 0.0000 0.5000  0.56
Fe: 0.2500 0.3750 0.6250  2.96
Fe: 0.2500 0.8750 0.1250  2.96
Fe: 0.0000 0.5000 0.5000  0.56
Fe: 0.8750 0.2500 0.6250  2.96
Fe: 0.6250 0.7500 0.8750  2.96
Fe: 0.8750 0.6250 0.7500  2.96

***

Compound: Pr3FeSb
Source: the Alexandria database
Functional: PBE-GGA
Structure: optimized geometry

Values from the calculation:
- crystal system = cubic
- final energy (eV per atom) = -5.64

Unit cell a=5.2446 b=5.2446 c=5.2446 alpha=90.00 beta=90.00 gamma=90.00
Atoms (fractional coordinates):
Pr: 0.0000 0.5000 0.0000
Pr: 0.0000 0.0000 0.5000
Pr: 0.5000 0.0000 0.0000
Sb: 0.5000 0.5000 0.5000
Fe: 0.0000 0.0000 0.0000

***

Compound: Pr5Fe2Sb
Source: the Alexandria database
Functional: PBE-GGA
Structure: optimized geometry

Values from the calculation:
- crystal system = tetragonal
- final energy (eV per atom) = -5.82

Unit cell a=8.9786 b=8.9786 c=8.9786 alpha=127.02 beta=127.02 gamma=78.22
Last column: magnetic moment on the atom in μB.
Atoms (fractional coordinates):
Pr: 0.0000 0.0000 0.0000  -0.29
Pr: 0.5000 0.5000 0.0000  -0.29
Pr: 0.9742 0.8054 0.5000  -0.18
Pr: 0.0258 0.1946 0.5000  -0.18
Pr: 0.3054 0.4742 0.5000  -0.18
Pr: 0.8054 0.3054 0.8312  -0.18
Pr: 0.5258 0.0258 0.8312  -0.18
Pr: 0.6946 0.5258 0.5000  -0.18
Pr: 0.1946 0.6946 0.1688  -0.18
Pr: 0.4742 0.9742 0.1688  -0.18
Fe: 0.3952 0.1048 0.5000  1.90
Fe: 0.6048 0.8952 0.5000  1.90
Fe: 0.1048 0.6048 0.7097  1.90
Fe: 0.8952 0.3952 0.2903  1.90
Sb: 0.2500 0.2500 0.0000  0.01
Sb: 0.7500 0.7500 0.0000  0.01

***

Compound: PrFe4Sb12
Source: the Alexandria database
Functional: PBE-GGA
Structure: optimized geometry

Values from the calculation:
- crystal system = cubic
- final energy (eV per atom) = -5.38

Unit cell a=7.9535 b=7.9535 c=7.9535 alpha=109.47 beta=109.47 gamma=109.47
Last column: magnetic moment on the atom in μB.
Atoms (fractional coordinates):
Pr: 0.0000 0.0000 0.0000  -0.06
Fe: 0.0000 0.0000 0.5000  0.38
Fe: 0.5000 0.0000 0.0000  0.38
Fe: 0.0000 0.5000 0.0000  0.38
Fe: 0.5000 0.5000 0.5000  0.38
Sb: 0.3347 0.1720 0.8373  -0.01
Sb: 0.6653 0.8280 0.1627  -0.01
Sb: 0.6653 0.5026 0.8373  -0.01
Sb: 0.3347 0.4974 0.1627  -0.01
Sb: 0.1720 0.8373 0.3347  -0.01
Sb: 0.8280 0.1627 0.6653  -0.01
Sb: 0.5026 0.8373 0.6653  -0.01
Sb: 0.4974 0.1627 0.3347  -0.01
Sb: 0.8373 0.3347 0.1720  -0.01
Sb: 0.1627 0.6653 0.8280  -0.01
Sb: 0.8373 0.6653 0.5026  -0.01
Sb: 0.1627 0.3347 0.4974  -0.01

***

Compound: PrFeSb2
Source: the Alexandria database
Functional: PBE-GGA
Structure: optimized geometry

Values from the calculation:
- crystal system = tetragonal
- final energy (eV per atom) = -5.88

Unit cell a=4.3586 b=4.3586 c=10.0242 alpha=90.00 beta=90.00 gamma=90.00
Atoms (fractional coordinates):
Pr: 0.0000 0.5000 0.7432
Pr: 0.5000 0.0000 0.2568
Fe: 0.5000 0.5000 0.5000
Fe: 0.0000 0.0000 0.5000
Sb: 0.5000 0.5000 0.0000
Sb: 0.0000 0.0000 0.0000
Sb: 0.0000 0.5000 0.3688
Sb: 0.5000 0.0000 0.6312

***

Computed values of energy relative to the elements, uncorrected (unit: kJ per mole of atoms) for the preceding records, in sequence: -62; -86; -25; -20; -19; -49.